Record 1
DFT (PBE-GGA) results for a geometry-optimized Tb4HgTe structure.

Calculated values
E above lowest polymorph = 0 meV per atom
Space-group type = Pnma, No. 62
Magnetic moment = 0.00 μB/atom
E_form (uncorrected) = -589 meV per atom
Raw total energy = -4.25 eV/atom

Cell: 3.9639 8.5448 20.1991 Å, 90.00 90.00 90.00°
Positions (direct):
Tb 0.7500 0.8381 0.6583
Tb 0.2500 0.1619 0.3417
Tb 0.2500 0.6619 0.1583
Tb 0.7500 0.3381 0.8417
Tb 0.7500 0.8766 0.4345
Tb 0.2500 0.1234 0.5655
Tb 0.2500 0.6234 0.9345
Tb 0.7500 0.3766 0.0655
Tb 0.7500 0.9748 0.9261
Tb 0.2500 0.0252 0.0739
Tb 0.2500 0.5252 0.4261
Tb 0.7500 0.4748 0.5739
Tb 0.7500 0.9869 0.2189
Tb 0.2500 0.0131 0.7811
Tb 0.2500 0.5131 0.7189
Tb 0.7500 0.4869 0.2811
Hg 0.7500 0.2439 0.4540
Hg 0.2500 0.7561 0.5460
Hg 0.2500 0.2561 0.9540
Hg 0.7500 0.7439 0.0460
Te 0.7500 0.7152 0.8122
Te 0.2500 0.2848 0.1878
Te 0.2500 0.7848 0.3122
Te 0.7500 0.2152 0.6878

Record 2
DFT (PBE-GGA) results for a geometry-optimized Tb4HgTe structure.

Calculated values
E above lowest polymorph = 31 meV per atom
Space-group type = P2_1/m, No. 11
Magnetic moment = 0.00 μB/atom
E_form (uncorrected) = -558 meV per atom
Raw total energy = -4.22 eV/atom

Cell: 6.1395 8.5957 6.4978 Å, 90.00 90.00 87.72°
Positions (direct):
Tb 0.6208 0.6541 0.7500
Tb 0.3792 0.3459 0.2500
Tb 0.3427 0.0497 0.7500
Tb 0.6573 0.9503 0.2500
Tb 0.1399 0.6932 0.0030
Tb 0.8601 0.3068 0.5030
Tb 0.1399 0.6932 0.4970
Tb 0.8601 0.3068 0.9970
Hg 0.3009 0.3942 0.7500
Hg 0.6991 0.6058 0.2500
Te 0.8373 0.9741 0.7500
Te 0.1627 0.0259 0.2500

Record 3
DFT (PBE-GGA) results for a geometry-optimized Tb5HgTe4 structure.

Calculated values
E above lowest polymorph = 0 meV per atom
Space-group type = I4/m, No. 87
Magnetic moment = 0.00 μB/atom
E_form (uncorrected) = -1175 meV per atom
Raw total energy = -4.78 eV/atom

Cell: 6.1807 7.5704 7.5704 Å, 80.41 65.91 65.91°
Positions (direct):
Tb 0.9022 0.3880 0.8097
Tb 0.2902 0.8097 0.6120
Tb 0.7118 0.1903 0.3880
Tb 0.0998 0.6120 0.1903
Tb 0.5010 0.0000 0.0000
Hg 0.0011 0.0000 0.0000
Te 0.4064 0.3984 0.7908
Te 0.8048 0.7908 0.6016
Te 0.1973 0.2092 0.3984
Te 0.5956 0.6016 0.2092

Record 4
DFT (PBE-GGA) results for a geometry-optimized Tb7Hg2Te2 structure.

Calculated values
E above lowest polymorph = 298 meV per atom
Space-group type = C2/m, No. 12
Magnetic moment = 0.00 μB/atom
E_form (uncorrected) = -370 meV per atom
Raw total energy = -3.94 eV/atom

Cell: 6.8022 7.6503 6.8022 Å, 89.95 106.21 90.05°
Positions (direct):
Tb 0.0002 0.2818 0.5005
Tb 0.5005 0.7182 0.0002
Tb 0.9998 0.7182 0.4995
Tb 0.4995 0.2818 0.9998
Tb 0.0000 0.0000 0.0000
Tb 0.5000 0.7308 0.5000
Tb 0.5000 0.2692 0.5000
Hg 0.8206 0.5000 0.8206
Hg 0.1794 0.5000 0.1794
Te 0.7186 0.0003 0.2814
Te 0.2814 0.9997 0.7186

Record 5
DFT (PBE-GGA) results for a geometry-optimized Tb4HgTe5 structure.

Calculated values
Space-group type = C2/m, No. 12
Magnetic moment = 0.00 μB/atom
E_form (uncorrected) = -1108 meV per atom
Raw total energy = -4.56 eV/atom

Cell: 4.3387 9.0251 10.4408 Å, 106.01 101.99 90.00°
Positions (direct):
Tb 0.3320 0.9520 0.6640
Tb 0.0245 0.7492 0.0491
Tb 0.6680 0.0480 0.3360
Tb 0.9755 0.2508 0.9509
Hg 0.5000 0.0000 0.0000
Te 0.8790 0.7700 0.7580
Te 0.8215 0.1928 0.6430
Te 0.1785 0.8072 0.3570
Te 0.5000 0.5000 0.0000
Te 0.1210 0.2300 0.2420

Record 6
DFT (PBE-GGA) results for a geometry-optimized TbHgTe2 structure.

Calculated values
E above lowest polymorph = 73 meV per atom
Space-group type = R-3m, No. 166
Magnetic moment = 0.00 μB/atom
E_form (uncorrected) = -764 meV per atom
Raw total energy = -3.57 eV/atom

Cell: 4.4834 4.4834 9.6118 Å, 76.51 76.51 60.00°
Positions (direct):
Te 0.1059 0.1059 0.6824
Te 0.8941 0.8941 0.3176
Tb 0.5000 0.5000 0.5000
Hg 0.0000 0.0000 0.0000

Please write out number 6 again, unchanged.
DFT (PBE-GGA) results for a geometry-optimized TbHgTe2 structure.

Calculated values
E above lowest polymorph = 73 meV per atom
Space-group type = R-3m, No. 166
Magnetic moment = 0.00 μB/atom
E_form (uncorrected) = -764 meV per atom
Raw total energy = -3.57 eV/atom

Cell: 4.4834 4.4834 9.6118 Å, 76.51 76.51 60.00°
Positions (direct):
Te 0.1059 0.1059 0.6824
Te 0.8941 0.8941 0.3176
Tb 0.5000 0.5000 0.5000
Hg 0.0000 0.0000 0.0000

> Which value of magnetic moment does entry 5 give?

0.00 μB/atom

> Which value of raw total energy does entry 2 give?

-4.22 eV/atom

Repeat the fifth record exactly.
DFT (PBE-GGA) results for a geometry-optimized Tb4HgTe5 structure.

Calculated values
Space-group type = C2/m, No. 12
Magnetic moment = 0.00 μB/atom
E_form (uncorrected) = -1108 meV per atom
Raw total energy = -4.56 eV/atom

Cell: 4.3387 9.0251 10.4408 Å, 106.01 101.99 90.00°
Positions (direct):
Tb 0.3320 0.9520 0.6640
Tb 0.0245 0.7492 0.0491
Tb 0.6680 0.0480 0.3360
Tb 0.9755 0.2508 0.9509
Hg 0.5000 0.0000 0.0000
Te 0.8790 0.7700 0.7580
Te 0.8215 0.1928 0.6430
Te 0.1785 0.8072 0.3570
Te 0.5000 0.5000 0.0000
Te 0.1210 0.2300 0.2420